(one)
DFT (PBE-GGA) results for crystalline CaTi3Hg at its relaxed geometry.

a = 5.1276 Å, b = 5.1276 Å, c = 5.1276 Å
α = 90.00°, β = 90.00°, γ = 90.00°
Closest atoms and distances in Å follow each position.
Fractional coordinates of all 5 atoms:
Ca1 0.5000 0.5000 0.5000  12 Ti 3.63
Hg1 0.0000 0.0000 0.0000  6 Ti 2.56
Ti1 0.0000 0.5000 0.0000  2 Hg 2.56
Ti2 0.0000 0.0000 0.5000  2 Hg 2.56
Ti3 0.5000 0.0000 0.0000  2 Hg 2.56

Properties
Space-group type ... Pm-3m (221)

(two)
DFT (PBE-GGA) results for crystalline CaTi3Hg at its relaxed geometry.

a = 4.7555 Å, b = 4.7555 Å, c = 4.7555 Å
α = 90.00°, β = 90.00°, γ = 90.00°
Closest atoms and distances in Å follow each position.
Fractional coordinates of all 5 atoms:
Ca1 0.0000 0.0000 0.0000  6 Ti 2.38
Hg1 0.5000 0.5000 0.5000  12 Ti 3.36
Ti1 0.0000 0.5000 0.0000  2 Ca 2.38
Ti2 0.0000 0.0000 0.5000  2 Ca 2.38
Ti3 0.5000 0.0000 0.0000  2 Ca 2.38

Properties
Space-group type ... Pm-3m (221)

Computed stability ranking, most favorable first: (one), (two)

(one)
DFT (PBE-GGA) results for crystalline CaTi2Hg2 at its relaxed geometry.

a = 8.3063 Å, b = 8.3063 Å, c = 3.1400 Å
α = 90.00°, β = 90.00°, γ = 90.00°
Closest atoms and distances in Å follow each position.
Fractional coordinates of all 10 atoms:
Ca1 0.0000 0.0000 0.0000  2 Ca 3.14, 4 Ti 3.37, 8 Hg 3.42
Ca2 0.5000 0.5000 0.0000  2 Ca 3.14, 4 Ti 3.37, 8 Hg 3.42
Hg1 0.1851 0.6851 0.5000  6 Ti 2.89-2.97, 2 Hg 3.14
Hg2 0.6851 0.8149 0.5000  6 Ti 2.89-2.97, 2 Hg 3.14
Hg3 0.8149 0.3149 0.5000  6 Ti 2.89-2.97, 2 Hg 3.14
Hg4 0.3149 0.1851 0.5000  6 Ti 2.89-2.97, 2 Hg 3.14
Ti1 0.3914 0.8914 0.0000  1 Ti 2.55
Ti2 0.8914 0.6086 0.0000  1 Ti 2.55
Ti3 0.6086 0.1086 0.0000  1 Ti 2.55
Ti4 0.1086 0.3914 0.0000  1 Ti 2.55

Properties
Space-group type ... P4/mbm (127)

(two)
DFT (PBE-GGA) results for crystalline CaTi2Hg2 at its relaxed geometry.

a = 8.3908 Å, b = 8.3908 Å, c = 3.1720 Å
α = 90.00°, β = 90.00°, γ = 90.00°
Closest atoms and distances in Å follow each position.
Fractional coordinates of all 10 atoms:
Ca1 0.0000 0.0000 0.0000  4 Hg 3.09, 2 Ca 3.17
Ca2 0.5000 0.5000 0.0000  4 Hg 3.09, 2 Ca 3.17
Hg1 0.3227 0.8227 0.0000  6 Ti 2.92-2.97, 2 Ca 3.09, 2 Hg 3.17
Hg2 0.8227 0.6773 0.0000  6 Ti 2.92-2.97, 2 Ca 3.09, 2 Hg 3.17
Hg3 0.6773 0.1773 0.0000  6 Ti 2.92-2.97, 2 Ca 3.09, 2 Hg 3.17
Hg4 0.1773 0.3227 0.0000  6 Ti 2.92-2.97, 2 Ca 3.09, 2 Hg 3.17
Ti1 0.1157 0.6157 0.5000  1 Ti 2.75, 6 Hg 2.92-2.97
Ti2 0.6157 0.8843 0.5000  1 Ti 2.75, 6 Hg 2.92-2.97
Ti3 0.8843 0.3843 0.5000  1 Ti 2.75, 6 Hg 2.92-2.97
Ti4 0.3843 0.1157 0.5000  1 Ti 2.75, 6 Hg 2.92-2.97

Properties
Space-group type ... P4/mbm (127)

Computed stability ranking, most favorable first: (one), (two)

(one)
DFT (PBE-GGA) results for crystalline CaTlHg3 at its relaxed geometry.

a = 6.5105 Å, b = 6.5105 Å, c = 8.7520 Å
α = 68.16°, β = 68.16°, γ = 60.00°
Closest atoms and distances in Å follow each position.
Fractional coordinates of all 10 atoms:
Ca1 0.0996 0.0996 0.7012  9 Hg 3.27-3.39
Ca2 0.9004 0.9004 0.2988  9 Hg 3.27-3.39
Tl1 0.3354 0.3354 0.9939  6 Hg 3.27-3.32
Tl2 0.6646 0.6646 0.0061  6 Hg 3.27-3.32
Hg1 0.1104 0.6161 0.6577  6 Hg 3.13-3.29, 2 Tl 3.27-3.32, 3 Ca 3.27-3.39
Hg2 0.6158 0.1104 0.6577  6 Hg 3.13-3.29, 2 Tl 3.27-3.32, 3 Ca 3.27-3.39
Hg3 0.3839 0.3842 0.3423  6 Hg 3.13-3.29, 2 Tl 3.27-3.32, 3 Ca 3.27-3.39
Hg4 0.3842 0.8896 0.3423  6 Hg 3.13-3.29, 2 Tl 3.27-3.32, 3 Ca 3.27-3.39
Hg5 0.8896 0.3839 0.3423  6 Hg 3.13-3.29, 2 Tl 3.27-3.32, 3 Ca 3.27-3.39
Hg6 0.6161 0.6158 0.6577  6 Hg 3.13-3.29, 2 Tl 3.27-3.32, 3 Ca 3.27-3.39

Properties
Space-group type ... R-3m (166)

(two)
DFT (PBE-GGA) results for crystalline CaTlHg3 at its relaxed geometry.

a = 5.6519 Å, b = 5.6519 Å, c = 5.6519 Å
α = 90.00°, β = 90.00°, γ = 90.00°
Closest atoms and distances in Å follow each position.
Fractional coordinates of all 5 atoms:
Tl1 0.0000 0.0000 0.0000  6 Hg 2.83
Ca1 0.5000 0.5000 0.5000  12 Hg 4.00
Hg1 0.0000 0.5000 0.0000  2 Tl 2.83
Hg2 0.0000 0.0000 0.5000  2 Tl 2.83
Hg3 0.5000 0.0000 0.0000  2 Tl 2.83

Properties
Space-group type ... Pm-3m (221)

Computed stability ranking, most favorable first: (one), (two)